Below is crystalline Zr2Pt2N at its relaxed geometry, with properties calculated at the PBE level.

excess energy over the best structure of this formula in the dataset = 59.1 kJ/mol of atoms
calculated volume = 18.2 Å³ per atom
E = -75.2 eV per cell
E_form (uncorrected) = -0.019 eV per atom

Cell: 3.554 3.554 14.416 Å, 90.00 90.00 90.00°
Space group I4/mmm (No. 139)
Unique sites:
Zr 0.000 0.000 0.100
Pt 0.000 0.500 0.250
N 0.000 0.000 0.500

Below is crystalline Zr3PtN at its relaxed geometry, with properties calculated at the PBE level.

calculated volume = 18.9 Å³ per atom
E = -266.8 eV per cell
E_form (uncorrected) = -0.890 eV per atom

Cell: 5.8473 5.8473 19.1110 Å, 90.00 90.00 120.00°
Space group R-3 (No. 148, hexagonal axes)
Unique sites:
Zr 0.0050 0.6557 0.4348
Pt 0.0000 0.0000 0.3387
N 0.0000 0.0000 0.1621